# InReSe2

InReSe2 after structural relaxation (PBE-GGA, the Alexandria database).

Geometry as extended XYZ:
```
4
Lattice="2.948 0.000 0.000 0.000 3.173 0.000 -0.031 0.000 9.528" Properties=species:S:1:pos:R:3 pbc="T T T"
In 0.000 0.000 0.000
Re 1.474 1.587 1.964
Se 1.475 0.000 3.777
Se 2.914 1.587 7.190
```

Properties
space-group type	Pm

---

# InReSe2

InReSe2 after structural relaxation (PBE-GGA, the Alexandria database).

Geometry as extended XYZ:
```
4
Lattice="5.356 0.000 0.000 0.000 3.390 0.000 -2.397 0.000 4.981" Properties=species:S:1:pos:R:3 pbc="T T T"
In 0.000 0.000 0.000
Re -1.199 0.000 2.490
Se 0.419 1.695 3.337
Se 2.540 1.695 1.644
```

Properties
space-group type	P2/m

---

# InReSe2

InReSe2 after structural relaxation (PBE-GGA, the Alexandria database).

Geometry as extended XYZ:
```
8
Lattice="-3.762 3.762 3.672 3.762 -3.762 3.672 3.762 3.762 -3.672" Properties=species:S:1:pos:R:3 pbc="T T T"
In 0.000 0.000 0.000
In 0.000 3.762 1.836
Re 3.762 0.000 1.836
Re 0.000 0.000 3.672
Se 1.881 -1.170 2.754
Se 2.592 1.881 0.918
Se 1.881 4.932 -0.918
Se 1.170 1.881 4.590
```

Properties
space-group type	I-42d

---

# In2ReSe

In2ReSe after structural relaxation (PBE-GGA, the Alexandria database).

Geometry as extended XYZ:
```
8
Lattice="-3.199 3.199 6.132 3.199 -3.199 6.132 3.199 3.199 -6.132" Properties=species:S:1:pos:R:3 pbc="T T T"
In 4.798 1.529 -1.533
In 1.529 1.599 1.533
In -1.599 1.669 4.599
In 1.669 1.599 7.666
Re 0.000 0.000 0.000
Re 0.000 3.199 3.066
Se 3.199 0.000 3.066
Se 0.000 0.000 6.132
```

Properties
space-group type	I-42d

---

# InReSe2

InReSe2 after structural relaxation (PBE-GGA, the Alexandria database).

Geometry as extended XYZ:
```
4
Lattice="3.110 0.000 0.000 0.000 3.110 0.000 0.000 0.000 8.641" Properties=species:S:1:pos:R:3 pbc="T T T"
In 0.000 0.000 0.000
Re 1.555 1.555 2.008
Se 0.000 0.000 3.339
Se 1.555 1.555 6.573
```

Properties
space-group type	P4mm

---

# InRe2Se

InRe2Se after structural relaxation (PBE-GGA, the Alexandria database).

Geometry as extended XYZ:
```
4
Lattice="4.343 -1.493 0.000 4.343 1.493 0.000 -1.148 0.000 5.352" Properties=species:S:1:pos:R:3 pbc="T T T"
In 0.000 0.000 0.000
Re 1.338 0.000 3.765
Re 6.200 0.000 1.587
Se 3.769 0.000 2.676
```

Properties
energy above the most stable polymorph in this dataset	1.76	eV/f.u.
space-group type	C2/m

---

# InReSe2

InReSe2 after structural relaxation (PBE-GGA, the Alexandria database).

Geometry as extended XYZ:
```
4
Lattice="1.780 1.028 8.369 -1.780 1.028 8.369 0.000 -2.056 8.369" Properties=species:S:1:pos:R:3 pbc="T T T"
In 0.000 0.000 0.000
Re 0.000 0.000 12.554
Se 0.000 0.000 10.198
Se 0.000 0.000 14.909
```

Properties
space-group type	R-3m

---

# InRe2Se

InRe2Se after structural relaxation (PBE-GGA, the Alexandria database).

Geometry as extended XYZ:
```
4
Lattice="2.968 0.000 0.000 0.000 2.968 0.000 0.000 0.000 8.272" Properties=species:S:1:pos:R:3 pbc="T T T"
In 0.000 0.000 0.000
Re 0.000 0.000 3.745
Re 1.484 1.484 2.052
Se 1.484 1.484 5.383
```

Properties
energy above the most stable polymorph in this dataset	0.00	eV/f.u.
space-group type	P4mm

---

# In2ReSe

In2ReSe after structural relaxation (PBE-GGA, the Alexandria database).

Geometry as extended XYZ:
```
4
Lattice="3.214 -4.058 0.000 3.214 4.058 0.000 0.000 0.000 3.009" Properties=species:S:1:pos:R:3 pbc="T T T"
In 1.607 2.029 0.000
In 1.607 -2.029 0.000
Re 0.000 0.000 1.505
Se 3.214 0.000 1.505
```

Properties
space-group type	Cmmm

---

# InRe4Se

InRe4Se after structural relaxation (PBE-GGA, the Alexandria database).

Geometry as extended XYZ:
```
6
Lattice="0.000 3.741 3.741 3.741 0.000 3.741 3.741 3.741 0.000" Properties=species:S:1:pos:R:3 pbc="T T T"
In 0.000 0.000 0.000
Re 4.668 2.813 2.813
Re 2.813 4.668 2.813
Re 2.813 2.813 4.668
Re 4.668 4.668 4.668
Se 1.870 1.870 1.870
```

Properties
space-group type	F-43m

---

# InRe2Se

InRe2Se after structural relaxation (PBE-GGA, the Alexandria database).

Geometry as extended XYZ:
```
4
Lattice="-1.535 2.294 4.946 1.535 -2.294 4.946 1.535 2.294 -4.946" Properties=species:S:1:pos:R:3 pbc="T T T"
In 0.000 0.000 0.000
Re 0.000 0.000 4.842
Re 0.000 2.294 2.083
Se 1.535 0.000 2.736
```

Properties
energy above the most stable polymorph in this dataset	1.71	eV/f.u.
space-group type	Imm2

---

# InReSe

InReSe after structural relaxation (PBE-GGA, the Alexandria database).

Geometry as extended XYZ:
```
3
Lattice="0.000 3.168 3.168 3.168 0.000 3.168 3.168 3.168 0.000" Properties=species:S:1:pos:R:3 pbc="T T T"
In 0.000 0.000 0.000
Re 1.584 1.584 1.584
Se 3.168 3.168 3.168
```

Properties
energy above the most stable polymorph in this dataset	1.68	eV/f.u.
space-group type	F-43m

---

# In2ReSe

In2ReSe after structural relaxation (PBE-GGA, the Alexandria database).

Geometry as extended XYZ:
```
4
Lattice="3.412 0.000 0.000 0.000 4.673 0.000 0.000 0.000 4.982" Properties=species:S:1:pos:R:3 pbc="T T T"
In 0.000 0.000 0.000
In 1.706 0.000 2.491
Re 0.000 2.336 2.491
Se 1.706 2.336 0.000
```

Properties
space-group type	Pmmm

---

# SrIn2ReSe

SrIn2ReSe after structural relaxation (PBE-GGA, the Alexandria database).

Geometry as extended XYZ:
```
5
Lattice="5.185 0.000 0.000 0.000 5.185 0.000 0.000 0.000 5.938" Properties=species:S:1:pos:R:3 pbc="T T T"
Sr 0.000 0.000 0.000
In 0.000 2.592 2.969
In 2.592 0.000 2.969
Re 0.000 0.000 2.969
Se 2.592 2.592 0.000
```

Properties
space-group type	P4/mmm

---

# Ta2InRe2Se8

Ta2InRe2Se8 after structural relaxation (PBE-GGA, the Alexandria database).

Geometry as extended XYZ:
```
13
Lattice="3.459 0.000 0.000 -1.729 2.996 0.000 0.000 0.000 28.470" Properties=species:S:1:pos:R:3 pbc="T T T"
Ta 0.000 0.000 0.000
Ta 0.000 0.000 12.877
In 0.000 0.000 17.140
Re 0.000 0.000 6.455
Re 0.000 0.000 22.075
Se 0.000 1.997 4.894
Se 0.000 1.997 8.015
Se 0.000 1.997 20.529
Se 0.000 1.997 23.633
Se 1.729 0.999 1.676
Se 1.729 0.999 11.209
Se 1.729 0.999 14.573
Se 1.729 0.999 26.794
```

Properties
space-group type	P3m1

---

# InRe2Si

InRe2Si after structural relaxation (PBE-GGA, the Alexandria database).

Geometry as extended XYZ:
```
4
Lattice="0.000 3.134 3.134 3.134 0.000 3.134 3.134 3.134 0.000" Properties=species:S:1:pos:R:3 pbc="T T T"
In 0.000 0.000 0.000
Re 1.567 1.567 1.567
Re 4.701 4.701 4.701
Si 3.134 3.134 3.134
```

Properties
energy above the most stable polymorph in this dataset	1.29	eV/f.u.
space-group type	Fm-3m

---

# InRe2Si

InRe2Si after structural relaxation (PBE-GGA, the Alexandria database).

Geometry as extended XYZ:
```
4
Lattice="4.414 0.000 0.000 0.000 4.414 0.000 0.000 0.000 3.171" Properties=species:S:1:pos:R:3 pbc="T T T"
In 0.000 0.000 0.000
Re 0.000 2.207 1.585
Re 2.207 0.000 1.585
Si 2.207 2.207 0.000
```

Properties
energy above the most stable polymorph in this dataset	1.40	eV/f.u.
space-group type	P4/mmm

---

# InRe2Si

InRe2Si after structural relaxation (PBE-GGA, the Alexandria database).

Geometry as extended XYZ:
```
4
Lattice="1.444 0.833 8.768 -1.444 0.833 8.768 0.000 -1.667 8.768" Properties=species:S:1:pos:R:3 pbc="T T T"
In 0.000 0.000 0.000
Re 0.000 0.000 6.307
Re 0.000 0.000 19.996
Si 0.000 0.000 13.152
```

Properties
energy above the most stable polymorph in this dataset	0.41	eV/f.u.
space-group type	R-3m

---

# InRe2Si2

InRe2Si2 after structural relaxation (PBE-GGA, the Alexandria database).

Geometry as extended XYZ:
```
10
Lattice="7.452 0.000 0.000 0.000 7.452 0.000 0.000 0.000 2.775" Properties=species:S:1:pos:R:3 pbc="T T T"
In 0.000 0.000 0.000
In 3.726 3.726 0.000
Re 1.171 2.555 1.387
Re 2.555 6.281 1.387
Re 4.897 1.171 1.387
Re 6.281 4.897 1.387
Si 1.004 4.730 0.000
Si 2.722 1.004 0.000
Si 4.730 6.448 0.000
Si 6.448 2.722 0.000
```

Properties
space-group type	P4/mbm

---

# InRe2Si

InRe2Si after structural relaxation (PBE-GGA, the Alexandria database).

Geometry as extended XYZ:
```
4
Lattice="2.971 0.000 0.000 0.000 4.398 0.000 -1.461 0.000 4.982" Properties=species:S:1:pos:R:3 pbc="T T T"
In 0.000 0.000 0.000
Re 0.027 0.000 2.624
Re 1.510 2.199 1.652
Si 0.029 2.199 3.760
```

Properties
energy above the most stable polymorph in this dataset	0.65	eV/f.u.
space-group type	Pm

---

Looking at uncorrected formation energy for the records above, in order, we have 0.247; 0.123; 0.206; 0.989; 0.227; 0.684; 0.727; 0.245; 0.536; 0.828; 0.674; 0.814; 0.737; 0.391; -0.428; 0.524; 0.550; 0.302; 0.208; 0.362 eV per atom.